[1]
Li2PtSeF: optimized geometry, GGA-PBEsol.

Cell: 3.8368 4.9392 4.9392 Å, 90.00 90.00 90.00°
Closest atoms and distances in Å follow each position.
Positions (direct):
Se  0.5000  0.5000  0.5000  8 Li 3.13, 4 F 3.49
Li  0.0000  0.0000  0.5000  2 Pt 2.47
Li  0.0000  0.5000  0.0000  2 Pt 2.47
F  0.5000  0.0000  0.0000  2 Pt 1.92
Pt  0.0000  0.0000  0.0000  2 F 1.92

Summary:
VASP energy = -18.69 eV per cell
formation energy without anion corrections = -194.7 kJ/mol of formula units

=====

[2]
MgCu2Au: optimized geometry, GGA-PBEsol.

Cell: 3.8434 3.8434 4.6840 Å, 114.22 114.22 90.00°
Closest atoms and distances in Å follow each position.
Positions (direct):
Mg  0.5000  0.5000  0.0000  8 Cu 2.71-2.72, 4 Au 2.71
Cu  0.7500  0.2500  0.5000  4 Mg 2.71, 4 Cu 2.71, 4 Au 2.72
Cu  0.0000  0.0000  0.0000  4 Cu 2.71, 4 Au 2.71, 4 Mg 2.72
Au  0.2500  0.7500  0.5000  4 Mg 2.71, 8 Cu 2.71-2.72

Summary:
energy of formation from the pure elements = -0.2108 eV per atom
VASP energy = -15.15 eV per cell